DFT (PBE) results for an optimized crystal structure of Pm5Te4Br.

Output
E ... -0.188 hartree per atom
Excess energy over the best structure of this formula in the dataset ... 0.008 eV per atom
Raw formation energy ... -1.310 eV per atom
DOS at the Fermi energy ... 0.51 states/eV/atom
Total moment ... 0.0 μB per cell

Cell lengths 4.348, 4.348, 16.873 Å; angles 97.40, 97.40, 90.00 degrees
Fractional coordinates of all 10 atoms:
Pm1 0.115 0.115 0.229
Pm2 0.500 0.500 0.000
Pm3 0.885 0.885 0.771
Pm4 0.312 0.312 0.624
Pm5 0.688 0.688 0.376
Te1 0.407 0.407 0.815
Te2 0.790 0.790 0.581
Te3 0.210 0.210 0.419
Te4 0.593 0.593 0.185
Br1 0.000 0.000 0.000